Compound: BiTe2Pd
Source: Alexandria
Functional: GGA-PBE
Structure: optimized geometry

Cell lengths 4.1413, 4.1413, 22.0278 Å; angles 90.00, 90.00, 120.00 degrees
With the nearest neighbours (Å) after each atom.
Space group R3m (No. 160, hexagonal axes)
Unique sites:
Bi  0.0000  0.0000  0.0000 (multiplicity 3)  6 Te 3.26, 1 Pd 3.63
Te  0.0000  0.0000  0.5660 (multiplicity 3)  3 Pd 2.82
Te  0.0000  0.0000  0.7670 (multiplicity 3)  3 Pd 2.78
Pd  0.0000  0.0000  0.1648 (multiplicity 3)  6 Te 2.78-2.82

Crystal system   trigonal
Magnetic moment   0.00 Bohr magnetons per cell
DOS(E_F)   2.45 states/eV/f.u.
Formation energy (no corrections)   -0.183 eV per atom
Volume   327.2 Å³/cell



Compound: TaNbZn
Source: Alexandria
Functional: GGA-PBE
Structure: optimized geometry

Cell lengths 4.7738, 4.7738, 2.6381 Å; angles 90.00, 90.00, 120.00 degrees
With the nearest neighbours (Å) after each atom.
Space group P3m1 (No. 156)
Unique sites:
Ta  0.0000  0.0000  0.0000 (multiplicity 1)  2 Ta 2.64, 3 Zn 2.86, 3 Nb 2.94
Nb  0.6667  0.3333  0.6101 (multiplicity 1)  2 Nb 2.64, 3 Zn 2.88, 3 Ta 2.94
Zn  0.3333  0.6667  0.2964 (multiplicity 1)  2 Zn 2.64, 3 Ta 2.86, 3 Nb 2.88

Crystal system   trigonal
Formation enthalpy at 0 K   113.1 meV/atom
Magnetic moment   0.00 Bohr magnetons per cell
DOS(E_F)   2.07 states/eV/f.u.
Volume   52.1 Å³/cell
ΔE to the lowest computed polymorph   0.130 eV/atom



Compound: TbMgCu5
Source: Alexandria
Functional: GGA-PBE
Structure: optimized geometry

Cell lengths 8.2384, 5.0459, 10.4568 Å; angles 90.00, 90.00, 90.00 degrees
With the nearest neighbours (Å) after each atom.
Space group Pnma (No. 62)
Unique sites:
Tb  0.2480  0.2500  0.0598 (multiplicity 4)  10 Cu 2.90-3.22
Mg  0.1371  0.7500  0.8614 (multiplicity 4)  8 Cu 2.63-2.84
Cu  0.0522  0.7500  0.1041 (multiplicity 4)  4 Cu 2.53-2.60, 1 Mg 2.63
Cu  0.0677  0.0044  0.3121 (multiplicity 8)  7 Cu 2.48-2.57, 1 Mg 2.77
Cu  0.0874  0.2500  0.5168 (multiplicity 4)  5 Cu 2.48-2.55
Cu  0.1864  0.2500  0.7437 (multiplicity 4)  7 Cu 2.50-2.60

Crystal system   orthorhombic
Formation enthalpy at 0 K   -200.9 meV/atom
Magnetic moment   0.00 Bohr magnetons per cell
DOS(E_F)   3.71 states/eV/f.u.
Volume   434.7 Å³/cell



Compound: ZnAg8Hg2
Source: Alexandria
Functional: GGA-PBE
Structure: optimized geometry

Cell lengths 14.8527, 4.2862, 6.6830 Å; angles 90.00, 107.84, 90.00 degrees
With the nearest neighbours (Å) after each atom.
Space group C2/m (No. 12)
Unique sites:
Zn  0.0000  0.0000  0.0000 (multiplicity 2)  12 Ag 2.83-3.00
Ag  0.0434  0.5000  0.7287 (multiplicity 4)  9 Ag 2.85-3.07, 1 Hg 2.90, 2 Zn 3.00
Ag  0.0863  0.0000  0.4412 (multiplicity 4)  1 Zn 2.83, 8 Ag 2.87-3.07, 3 Hg 2.98-3.04
Ag  0.1315  0.5000  0.1725 (multiplicity 4)  7 Ag 2.85-3.07, 2 Zn 2.89, 3 Hg 3.02
Ag  0.1761  0.0000  0.9112 (multiplicity 4)  1 Zn 2.85, 3 Hg 2.89-3.01, 8 Ag 2.91-3.07
Hg  0.2235  0.5000  0.6430 (multiplicity 4)  10 Ag 2.89-3.04, 2 Hg 3.13

Crystal system   monoclinic
Formation enthalpy at 0 K   33.7 meV/atom
Magnetic moment   0.00 Bohr magnetons per cell
DOS(E_F)   2.74 states/eV/f.u.
Volume   405.0 Å³/cell
ΔE to the lowest computed polymorph   0.000 eV/atom